Below is a geometry-optimized Zn3AuSe structure, with properties calculated at the PBE level.

Mass density (kg/m³): 6653
Raw total energy (eV per atom): -1.925
Total moment (μB per formula unit): 0.00
Formation energy (no corrections) (eV/atom): 0.19
Energy above the most stable polymorph in this dataset (eV/atom): 0.0000

a b c (Å): 4.903 4.903 4.903
angles (deg): 90.00 90.00 90.00
Space group Pm-3m (No. 221)
Symmetry-distinct sites (fractional):
Zn 0.000 0.000 0.500 x3
Au 0.000 0.000 0.000 x1
Se 0.500 0.500 0.500 x1

---

Below is a geometry-optimized TiPt2AuF structure, with properties calculated at the PBE level.

Mass density (kg/m³): 10015
Raw total energy (eV per atom): -4.430
Total moment (μB per formula unit): 0.00
Formation energy (no corrections) (eV/atom): 0.60

a b c (Å): 4.656 4.656 5.002
angles (deg): 90.00 90.00 90.00
Space group P4/mmm (No. 123)
Symmetry-distinct sites (fractional):
Ti 0.000 0.000 0.000 x1
Pt 0.000 0.500 0.000 x2
Au 0.000 0.000 0.500 x1
F 0.500 0.500 0.500 x1

---

Below is a geometry-optimized Pr3Ga structure, with properties calculated at the PBE level.

Mass density (kg/m³): 6819
ΔH_f (0 K) (kJ per mole of atoms): -5.6
Raw total energy (eV per atom): -4.399
Total moment (μB per formula unit): 0.95
Energy above the most stable polymorph in this dataset (eV/atom): 0.1989

a b c (Å): 7.828 7.828 7.828
angles (deg): 90.00 90.00 90.00
Space group Fm-3m (No. 225)
Symmetry-distinct sites (fractional):
Pr 0.000 0.000 0.000 x4
Pr 0.250 0.250 0.250 x8
Ga 0.000 0.000 0.500 x4

---

Below is a geometry-optimized PrTmAs structure, with properties calculated at the PBE level.

Mass density (kg/m³): 7516
ΔH_f (0 K) (kJ per mole of atoms): -56.8
Raw total energy (eV per atom): -5.222
Total moment (μB per formula unit): 0.00

a b c (Å): 4.7196 4.7196 4.4066
angles (deg): 90.00 90.00 120.00
Space group P3m1 (No. 156)
Symmetry-distinct sites (fractional):
Pr 0.0000 0.0000 0.0000 x1
Tm 0.6667 0.3333 0.5005 x1
As 0.3333 0.6667 0.3526 x1

---

Which value of raw total energy does entry 4 give?
-5.222 eV per atom